1.
# NaCr2PbO8

A relaxed structure of NaCr2PbO8 (PBE+U, Alexandria via LeMat-Bulk).

Its total DFT energy (no corrections) is -222.428 eV for the cell shown. The calculation puts the total magnetic moment at 0.000 μB per atom.

It has space group R-3m (No. 166, hexagonal axes), with a = 6.0240 Å, b = 6.0240 Å, c = 18.0451 Å, α = 90.00°, β = 90.00° and γ = 120.00°. The asymmetric unit holds Na at (0.0000, 0.0000, 0.0000), Cr at (0.0000, 0.0000, 0.2179), Pb at (0.0000, 0.0000, 0.5000), O at (0.0000, 0.0000, 0.1278) and O at (0.0263, 0.5131, 0.9139).

---

2.
# NaCrPdO4

A relaxed structure of NaCrPdO4 (PBE+U, Alexandria via LeMat-Bulk).

Its total DFT energy (no corrections) is -164.584 eV for the cell shown. The calculation puts the total magnetic moment at 0.000 μB per atom.

It has space group Cmcm (No. 63), with a = 6.056 Å, b = 9.314 Å, c = 6.774 Å, α = 90.00°, β = 90.00° and γ = 90.00°. The asymmetric unit holds Na at (0.000, 0.000, 0.000), Cr at (0.000, 0.364, 0.250), Pd at (0.000, 0.287, 0.750), O at (0.000, 0.259, 0.046) and O at (0.227, 0.469, 0.250).

---

3.
# NaCr4Pd3O12

A relaxed structure of NaCr4Pd3O12 (PBE+U, Alexandria via LeMat-Bulk).

Its total DFT energy (no corrections) is -261.142 eV for the cell shown. The calculation puts the total magnetic moment at 0.380 μB per atom.

It has space group Im-3 (No. 204), with a = 7.522 Å, b = 7.522 Å, c = 7.522 Å, α = 90.00°, β = 90.00° and γ = 90.00°. The asymmetric unit holds Na at (0.000, 0.000, 0.000), Cr at (0.250, 0.250, 0.250), Pd at (0.000, 0.000, 0.500) and O at (0.000, 0.308, 0.184).